(1)
Here is crystalline Nb3Co5B2 at its relaxed geometry from Alexandria. Energies are from GGA-PBEsol.

Computed properties:
**Formation energy**: -3.6 eV/f.u.

Cell and atoms, written as CIF:
```
data_Nb3Co5B2
_cell_length_a 3.2091
_cell_length_b 8.3537
_cell_length_c 8.3537
_cell_angle_alpha 90.00
_cell_angle_beta 90.00
_cell_angle_gamma 90.00
_symmetry_space_group_name_H-M 'P 1'
_symmetry_Int_Tables_number 1
loop_
_symmetry_equiv_pos_as_xyz
'x,y,z'
loop_
_atom_site_label
_atom_site_fract_x
_atom_site_fract_y
_atom_site_fract_z
_atom_site_occupancy
Nb1 0.0000 0.3255 0.8255 1
Nb2 0.0000 0.0000 0.0000 1
Nb3 0.0000 0.8255 0.6745 1
Nb4 0.0000 0.1745 0.3255 1
Nb5 0.0000 0.5000 0.5000 1
Nb6 0.0000 0.6745 0.1745 1
B1 0.0000 0.1191 0.6191 1
B2 0.0000 0.3809 0.1191 1
B3 0.0000 0.6191 0.8809 1
B4 0.0000 0.8809 0.3809 1
Co1 0.5000 0.5000 0.0000 1
Co2 0.5000 0.0000 0.5000 1
Co3 0.5000 0.7208 0.4297 1
Co4 0.5000 0.4297 0.2792 1
Co5 0.5000 0.5703 0.7208 1
Co6 0.5000 0.2792 0.5703 1
Co7 0.5000 0.2208 0.0703 1
Co8 0.5000 0.7792 0.9297 1
Co9 0.5000 0.9297 0.2208 1
Co10 0.5000 0.0703 0.7792 1
```

(2)
Here is crystalline Nb2CoB2 at its relaxed geometry from Alexandria. Energies are from GGA-PBEsol.

Computed properties:
**Formation energy**: -3.1 eV/f.u.

Cell and atoms, written as CIF:
```
data_Nb2CoB2
_cell_length_a 3.3387
_cell_length_b 5.7664
_cell_length_c 5.7664
_cell_angle_alpha 90.00
_cell_angle_beta 90.00
_cell_angle_gamma 90.00
_symmetry_space_group_name_H-M 'P 1'
_symmetry_Int_Tables_number 1
loop_
_symmetry_equiv_pos_as_xyz
'x,y,z'
loop_
_atom_site_label
_atom_site_fract_x
_atom_site_fract_y
_atom_site_fract_z
_atom_site_occupancy
Nb1 0.5000 0.8187 0.3187 1
Nb2 0.5000 0.6813 0.8187 1
Nb3 0.5000 0.1813 0.6813 1
Nb4 0.5000 0.3187 0.1813 1
B1 0.0000 0.8888 0.6112 1
B2 0.0000 0.6112 0.1112 1
B3 0.0000 0.3888 0.8888 1
B4 0.0000 0.1112 0.3888 1
Co1 0.0000 0.5000 0.5000 1
Co2 0.0000 0.0000 0.0000 1
```

(3)
Here is crystalline Nb3Co4B7 at its relaxed geometry from Alexandria. Energies are from GGA-PBEsol.

Computed properties:
**Formation energy**: -9.3 eV/f.u.

Cell and atoms, written as CIF:
```
data_Nb3Co4B7
_cell_length_a 3.1743
_cell_length_b 8.8215
_cell_length_c 9.2622
_cell_angle_alpha 90.00
_cell_angle_beta 99.87
_cell_angle_gamma 90.00
_symmetry_space_group_name_H-M 'P 1'
_symmetry_Int_Tables_number 1
loop_
_symmetry_equiv_pos_as_xyz
'x,y,z'
loop_
_atom_site_label
_atom_site_fract_x
_atom_site_fract_y
_atom_site_fract_z
_atom_site_occupancy
B1 0.1102 0.3526 0.2203 1
B2 0.0155 0.4063 0.0310 1
B3 0.0155 0.0937 0.0310 1
B4 0.8898 0.6474 0.7797 1
B5 0.9845 0.5937 0.9690 1
B6 0.2900 0.1438 0.5799 1
B7 0.9845 0.9063 0.9690 1
B8 0.2900 0.3562 0.5799 1
B9 0.7100 0.6438 0.4201 1
B10 0.0451 0.7500 0.0902 1
B11 0.9549 0.2500 0.9098 1
B12 0.8898 0.8526 0.7797 1
B13 0.7100 0.8562 0.4201 1
B14 0.1102 0.1474 0.2203 1
Co1 0.8008 0.9952 0.6016 1
Co2 0.1992 0.4952 0.3984 1
Co3 0.8435 0.2500 0.6870 1
Co4 0.8008 0.5048 0.6016 1
Co5 0.4579 0.7500 0.9158 1
Co6 0.5421 0.2500 0.0842 1
Co7 0.1565 0.7500 0.3130 1
Co8 0.1992 0.0048 0.3984 1
Nb1 0.3019 0.7500 0.6037 1
Nb2 0.4189 0.4450 0.8379 1
Nb3 0.5811 0.5550 0.1621 1
Nb4 0.5811 0.9450 0.1621 1
Nb5 0.4189 0.0550 0.8379 1
Nb6 0.6981 0.2500 0.3963 1
```

(4)
Here is crystalline Nd2Co7B3 at its relaxed geometry from Alexandria. Energies are from GGA-PBEsol.

Computed properties:
**Formation energy**: -4.2 eV/f.u.

Cell and atoms, written as CIF:
```
data_Nd2Co7B3
_cell_length_a 5.1301
_cell_length_b 5.1301
_cell_length_c 12.7070
_cell_angle_alpha 90.00
_cell_angle_beta 90.00
_cell_angle_gamma 120.00
_symmetry_space_group_name_H-M 'P 1'
_symmetry_Int_Tables_number 1
loop_
_symmetry_equiv_pos_as_xyz
'x,y,z'
loop_
_atom_site_label
_atom_site_fract_x
_atom_site_fract_y
_atom_site_fract_z
_atom_site_occupancy
Co1 0.5000 0.0000 0.1566 1
Co2 0.3333 0.6667 0.0000 1
Co3 0.0000 0.5000 0.6150 1
Co4 0.5000 0.5000 0.3850 1
Co5 0.0000 0.5000 0.1566 1
Co6 0.5000 0.0000 0.8434 1
Co7 0.5000 0.5000 0.6150 1
Co8 0.5000 0.0000 0.3850 1
Co9 0.5000 0.5000 0.1566 1
Co10 0.0000 0.5000 0.8434 1
Co11 0.6667 0.3333 0.0000 1
Co12 0.0000 0.5000 0.3850 1
Co13 0.5000 0.0000 0.6150 1
Co14 0.5000 0.5000 0.8434 1
B1 0.3333 0.6667 0.5000 1
B2 0.6667 0.3333 0.5000 1
B3 0.6667 0.3333 0.2688 1
B4 0.3333 0.6667 0.7312 1
B5 0.6667 0.3333 0.7312 1
B6 0.3333 0.6667 0.2688 1
Nd1 0.0000 0.0000 0.7397 1
Nd2 0.0000 0.0000 0.5000 1
Nd3 0.0000 0.0000 0.0000 1
Nd4 0.0000 0.0000 0.2603 1
```

(5)
Here is crystalline NdCo12B6 at its relaxed geometry from Alexandria. Energies are from GGA-PBEsol.

Computed properties:
**Formation energy**: -7.7 eV/f.u.

Cell and atoms, written as CIF:
```
data_NdCo12B6
_cell_length_a 5.9019
_cell_length_b 5.9019
_cell_length_c 5.9019
_cell_angle_alpha 104.03
_cell_angle_beta 104.03
_cell_angle_gamma 104.03
_symmetry_space_group_name_H-M 'P 1'
_symmetry_Int_Tables_number 1
loop_
_symmetry_equiv_pos_as_xyz
'x,y,z'
loop_
_atom_site_label
_atom_site_fract_x
_atom_site_fract_y
_atom_site_fract_z
_atom_site_occupancy
Co1 0.5421 0.5421 0.8133 1
Co2 0.8669 0.5000 0.1331 1
Co3 0.8133 0.5421 0.5421 1
Co4 0.5421 0.8133 0.5421 1
Co5 0.4579 0.1867 0.4579 1
Co6 0.1331 0.8669 0.5000 1
Co7 0.4579 0.4579 0.1867 1
Co8 0.5000 0.8669 0.1331 1
Co9 0.5000 0.1331 0.8669 1
Co10 0.1867 0.4579 0.4579 1
Co11 0.1331 0.5000 0.8669 1
Co12 0.8669 0.1331 0.5000 1
B1 0.3256 0.7680 0.7680 1
B2 0.6744 0.2320 0.2320 1
B3 0.2320 0.6744 0.2320 1
B4 0.7680 0.7680 0.3256 1
B5 0.2320 0.2320 0.6744 1
B6 0.7680 0.3256 0.7680 1
Nd1 0.0000 0.0000 0.0000 1
```

(6)
Here is crystalline Nd5Co19B6 at its relaxed geometry from Alexandria. Energies are from GGA-PBEsol.

Computed properties:
**Formation energy**: -8.6 eV/f.u.

Cell and atoms, written as CIF:
```
data_Nd5Co19B6
_cell_length_a 5.0310
_cell_length_b 5.0310
_cell_length_c 16.3670
_cell_angle_alpha 90.00
_cell_angle_beta 90.00
_cell_angle_gamma 120.00
_symmetry_space_group_name_H-M 'P 1'
_symmetry_Int_Tables_number 1
loop_
_symmetry_equiv_pos_as_xyz
'x,y,z'
loop_
_atom_site_label
_atom_site_fract_x
_atom_site_fract_y
_atom_site_fract_z
_atom_site_occupancy
Co1 0.5000 0.5000 0.8245 1
Co2 0.5000 0.5000 0.1755 1
Co3 0.0000 0.5000 0.1755 1
Co4 0.5000 0.0000 0.1755 1
Co5 0.5000 0.0000 0.4128 1
Co6 0.3333 0.6667 0.2946 1
Co7 0.3333 0.6667 0.7054 1
Co8 0.6667 0.3333 0.2946 1
Co9 0.5000 0.0000 0.5872 1
Co10 0.5000 0.5000 0.5872 1
Co11 0.0000 0.5000 0.8245 1
Co12 0.5000 0.5000 0.4128 1
Co13 0.0000 0.5000 0.0000 1
Co14 0.5000 0.0000 0.0000 1
Co15 0.6667 0.3333 0.7054 1
Co16 0.5000 0.0000 0.8245 1
Co17 0.5000 0.5000 0.0000 1
Co18 0.0000 0.5000 0.4128 1
Co19 0.0000 0.5000 0.5872 1
Nd1 0.0000 0.0000 0.7046 1
Nd2 0.0000 0.0000 0.5000 1
Nd3 0.0000 0.0000 0.0936 1
Nd4 0.0000 0.0000 0.9064 1
Nd5 0.0000 0.0000 0.2954 1
B1 0.3333 0.6667 0.5000 1
B2 0.3333 0.6667 0.9112 1
B3 0.6667 0.3333 0.5000 1
B4 0.6667 0.3333 0.9112 1
B5 0.3333 0.6667 0.0888 1
B6 0.6667 0.3333 0.0888 1
```

(7)
Here is crystalline NdCo2B2 at its relaxed geometry from Alexandria. Energies are from GGA-PBEsol.

Computed properties:
**Formation energy**: -2.7 eV/f.u.

Cell and atoms, written as CIF:
```
data_NdCo2B2
_cell_length_a 3.5417
_cell_length_b 3.5417
_cell_length_c 5.5029
_cell_angle_alpha 108.77
_cell_angle_beta 108.77
_cell_angle_gamma 90.00
_symmetry_space_group_name_H-M 'P 1'
_symmetry_Int_Tables_number 1
loop_
_symmetry_equiv_pos_as_xyz
'x,y,z'
loop_
_atom_site_label
_atom_site_fract_x
_atom_site_fract_y
_atom_site_fract_z
_atom_site_occupancy
Co1 0.7500 0.2500 0.5000 1
Co2 0.2500 0.7500 0.5000 1
B1 0.3391 0.3391 0.6783 1
B2 0.6609 0.6609 0.3217 1
Nd1 0.0000 0.0000 0.0000 1
```

(8)
Here is crystalline Nd3Co11B4 at its relaxed geometry from Alexandria. Energies are from GGA-PBEsol.

Computed properties:
**Formation energy**: -5.7 eV/f.u.

Cell and atoms, written as CIF:
```
data_Nd3Co11B4
_cell_length_a 5.0459
_cell_length_b 5.0459
_cell_length_c 9.6116
_cell_angle_alpha 90.00
_cell_angle_beta 90.00
_cell_angle_gamma 120.00
_symmetry_space_group_name_H-M 'P 1'
_symmetry_Int_Tables_number 1
loop_
_symmetry_equiv_pos_as_xyz
'x,y,z'
loop_
_atom_site_label
_atom_site_fract_x
_atom_site_fract_y
_atom_site_fract_z
_atom_site_occupancy
Co1 0.5000 0.5000 0.7973 1
Co2 0.5000 0.5000 0.2027 1
Co3 0.5000 0.0000 0.5000 1
Co4 0.0000 0.5000 0.5000 1
Co5 0.5000 0.5000 0.5000 1
Co6 0.5000 0.0000 0.7973 1
Co7 0.5000 0.0000 0.2027 1
Co8 0.0000 0.5000 0.2027 1
Co9 0.3333 0.6667 0.0000 1
Co10 0.6667 0.3333 0.0000 1
Co11 0.0000 0.5000 0.7973 1
B1 0.3333 0.6667 0.3493 1
B2 0.6667 0.3333 0.6507 1
B3 0.3333 0.6667 0.6507 1
B4 0.6667 0.3333 0.3493 1
Nd1 0.0000 0.0000 0.6592 1
Nd2 0.0000 0.0000 0.3408 1
Nd3 0.0000 0.0000 0.0000 1
```

Which formula does entry 1 have?
Nb3Co5B2

Number 4 is which compound?
Nd2Co7B3

Which formula does entry 7 have?
NdCo2B2

Which of these has the highest formation energy?
NdCo2B2